(1)
ZrTeAs2: single point on PBEsol structure, SCAN. Values from VASP.

```
&SYSTEM
  ibrav = 0, nat = 4, ntyp = 3
/
ATOMIC_SPECIES
Zr 91.22 Zr.upf
Te 127.60 Te.upf
As 74.92 As.upf
CELL_PARAMETERS angstrom
3.526 0.000 0.000
0.000 3.526 0.000
0.000 0.000 6.718
ATOMIC_POSITIONS crystal
Zr 0.000 0.000 0.000
Te 0.000 0.000 0.500
As 0.500 0.500 0.192
As 0.500 0.500 0.808
```

**Raw formation energy**: -1.97 eV per formula unit
**Magnetic moment**: 0.00 μB per formula unit
**Total DFT energy (no corrections)**: -27.57 eV per atom

---

(2)
Ba2P: single point on PBEsol structure, SCAN. Values from VASP.

```
&SYSTEM
  ibrav = 0, nat = 6, ntyp = 2
/
ATOMIC_SPECIES
Ba 137.33 Ba.upf
P 30.97 P.upf
CELL_PARAMETERS angstrom
7.536 0.000 0.000
0.000 7.599 0.000
0.000 0.000 4.660
ATOMIC_POSITIONS crystal
Ba 0.220 0.181 0.000
Ba 0.280 0.681 0.500
Ba 0.720 0.319 0.500
Ba 0.780 0.819 0.000
P 0.000 0.000 0.500
P 0.500 0.500 0.000
```

**Energy of formation**: -0.9448 eV/atom
**Magnetic moment**: 0.83 μB per formula unit
**Total DFT energy (no corrections)**: -30.78 eV per atom

---

(3)
Cs3CdH: single point on PBEsol structure, SCAN. Values from VASP.

```
&SYSTEM
  ibrav = 0, nat = 5, ntyp = 3
/
ATOMIC_SPECIES
Cs 132.91 Cs.upf
Cd 112.41 Cd.upf
H 1.01 H.upf
CELL_PARAMETERS angstrom
6.014 0.000 0.000
0.000 6.014 0.000
0.000 0.000 6.014
ATOMIC_POSITIONS crystal
Cs 0.000 0.000 0.500
Cs 0.000 0.500 0.000
Cs 0.500 0.000 0.000
Cd 0.500 0.500 0.500
H 0.000 0.000 0.000
```

**Magnetic moment**: 0.01 μB per formula unit
**Total DFT energy (no corrections)**: -29.54 eV per atom

---

(4)
Fe3HgOs: single point on PBEsol structure, SCAN. Values from VASP.

```
&SYSTEM
  ibrav = 0, nat = 5, ntyp = 3
/
ATOMIC_SPECIES
Fe 55.84 Fe.upf
Hg 200.59 Hg.upf
Os 190.23 Os.upf
CELL_PARAMETERS angstrom
4.594 0.000 0.000
0.000 4.594 0.000
0.000 0.000 4.594
ATOMIC_POSITIONS crystal
Fe 0.000 0.000 0.500
Fe 0.000 0.500 0.000
Fe 0.500 0.000 0.000
Hg 0.000 0.000 0.000
Os 0.500 0.500 0.500
```

**Energy of formation**: 2.1000 eV/atom
**Magnetic moment**: 11.63 μB per formula unit
**Total DFT energy (no corrections)**: -36.79 eV per atom

---

(5)
Mg: single point on PBEsol structure, SCAN. Values from VASP.

```
&SYSTEM
  ibrav = 0, nat = 2, ntyp = 1
/
ATOMIC_SPECIES
Mg 24.30 Mg.upf
CELL_PARAMETERS angstrom
3.189 0.000 0.000
-1.595 2.762 0.000
0.000 0.000 5.105
ATOMIC_POSITIONS crystal
Mg 0.333 0.667 0.250
Mg 0.667 0.333 0.750
```

**Energy of formation**: 0.0056 eV/atom
**Magnetic moment**: 0.00 μB per formula unit
**Total DFT energy (no corrections)**: -4.97 eV per atom

---

(6)
LiMgBe: single point on PBEsol structure, SCAN. Values from VASP.

```
&SYSTEM
  ibrav = 0, nat = 3, ntyp = 3
/
ATOMIC_SPECIES
Li 6.94 Li.upf
Mg 24.30 Mg.upf
Be 9.01 Be.upf
CELL_PARAMETERS angstrom
-1.538 1.538 4.655
1.538 -1.538 4.655
1.538 1.538 -4.655
ATOMIC_POSITIONS crystal
Li 0.000 0.000 0.000
Mg 0.301 0.301 0.000
Be 0.634 0.634 0.000
```

**Energy of formation**: 0.2207 eV/atom
**Magnetic moment**: 0.00 μB per formula unit
**Total DFT energy (no corrections)**: -3.68 eV per atom

---

(7)
LiMg2Br: single point on PBEsol structure, SCAN. Values from VASP.

```
&SYSTEM
  ibrav = 0, nat = 4, ntyp = 3
/
ATOMIC_SPECIES
Li 6.94 Li.upf
Mg 24.30 Mg.upf
Br 79.90 Br.upf
CELL_PARAMETERS angstrom
5.088 0.000 0.000
0.000 5.088 0.000
0.000 0.000 3.588
ATOMIC_POSITIONS crystal
Li 0.000 0.000 0.000
Mg 0.000 0.500 0.500
Mg 0.500 0.000 0.500
Br 0.500 0.500 0.000
```

**Raw formation energy**: -0.44 eV per formula unit
**Magnetic moment**: 0.00 μB per formula unit
**Total DFT energy (no corrections)**: -8.06 eV per atom

---

(8)
AlIr4: single point on PBEsol structure, SCAN. Values from VASP.

```
&SYSTEM
  ibrav = 0, nat = 5, ntyp = 2
/
ATOMIC_SPECIES
Al 26.98 Al.upf
Ir 192.22 Ir.upf
CELL_PARAMETERS angstrom
-3.014 3.014 1.921
3.014 -3.014 1.921
3.014 3.014 -1.921
ATOMIC_POSITIONS crystal
Al 0.000 0.000 0.000
Ir 0.196 0.398 0.594
Ir 0.398 0.804 0.201
Ir 0.602 0.196 0.799
Ir 0.804 0.602 0.406
```

**Energy of formation**: -0.4047 eV/atom
**Magnetic moment**: 0.00 μB per formula unit
**Total DFT energy (no corrections)**: -58.83 eV per atom

---

(9)
CdW2Se: single point on PBEsol structure, SCAN. Values from VASP.

```
&SYSTEM
  ibrav = 0, nat = 4, ntyp = 3
/
ATOMIC_SPECIES
Cd 112.41 Cd.upf
W 183.84 W.upf
Se 78.96 Se.upf
CELL_PARAMETERS angstrom
-1.929 1.929 4.676
1.929 -1.929 4.676
1.929 1.929 -4.676
ATOMIC_POSITIONS crystal
Cd 0.000 0.000 0.000
W 0.250 0.750 0.500
W 0.750 0.250 0.500
Se 0.500 0.500 0.000
```

**Raw formation energy**: 4.43 eV per formula unit
**Magnetic moment**: 0.00 μB per formula unit
**Total DFT energy (no corrections)**: -46.36 eV per atom

---

(10)
CrIrPb2: single point on PBEsol structure, SCAN. Values from VASP.

```
&SYSTEM
  ibrav = 0, nat = 4, ntyp = 3
/
ATOMIC_SPECIES
Cr 52.00 Cr.upf
Ir 192.22 Ir.upf
Pb 207.20 Pb.upf
CELL_PARAMETERS angstrom
3.047 0.000 0.000
0.000 3.352 0.000
0.000 0.000 8.135
ATOMIC_POSITIONS crystal
Cr 0.000 0.000 0.000
Ir 0.500 0.500 0.139
Pb 0.000 0.000 0.387
Pb 0.500 0.500 0.758
```

**Energy of formation**: 0.1621 eV/atom
**Magnetic moment**: 3.02 μB per formula unit
**Total DFT energy (no corrections)**: -60.10 eV per atom

---

(11)
TlNi3N: single point on PBEsol structure, SCAN. Values from VASP.

```
&SYSTEM
  ibrav = 0, nat = 5, ntyp = 3
/
ATOMIC_SPECIES
Tl 204.38 Tl.upf
Ni 58.69 Ni.upf
N 14.01 N.upf
CELL_PARAMETERS angstrom
3.844 0.000 0.000
0.000 3.844 0.000
0.000 0.000 3.844
ATOMIC_POSITIONS crystal
Tl 0.000 0.000 0.000
Ni 0.000 0.500 0.500
Ni 0.500 0.000 0.500
Ni 0.500 0.500 0.000
N 0.500 0.500 0.500
```

**Raw formation energy**: 0.35 eV per formula unit
**Magnetic moment**: 0.00 μB per formula unit
**Total DFT energy (no corrections)**: -25.96 eV per atom

---

(12)
YFeSe: single point on PBEsol structure, SCAN. Values from VASP.

```
&SYSTEM
  ibrav = 0, nat = 3, ntyp = 3
/
ATOMIC_SPECIES
Y 88.91 Y.upf
Fe 55.84 Fe.upf
Se 78.96 Se.upf
CELL_PARAMETERS angstrom
0.000 3.105 3.105
3.105 0.000 3.105
3.105 3.105 0.000
ATOMIC_POSITIONS crystal
Y 0.000 0.000 0.000
Fe 0.500 0.500 0.500
Se 0.250 0.250 0.250
```

**Raw formation energy**: -1.05 eV per formula unit
**Magnetic moment**: 2.88 μB per formula unit
**Total DFT energy (no corrections)**: -22.37 eV per atom

---

> Look up the magnetic moment of the seventh one.

0.00 μB per formula unit